Computed, not measured: crystalline SiC2 at its relaxed geometry at the PBE level of DFT.

a = 2.9722 Å, b = 13.2549 Å, c = 3.1292 Å
α = 90.00°, β = 90.00°, γ = 90.00°
Last column: nearest neighbours and their distance in Å.
Space group Cmmm (No. 65)
Unique sites:
Si 0.0000 0.1325 0.0000 x4  4 C 1.83-1.92
C 0.0000 0.2164 0.5000 x4  2 C 1.73, 2 Si 1.92
C 0.0000 0.4487 0.0000 x4  1 C 1.36

Values from the calculation:
energy relative to the lowest polymorph listed for this composition	136	meV/atom
E_form (uncorrected)	0.467	eV/atom

---

Computed, not measured: crystalline Si2C at its relaxed geometry at the PBE level of DFT.

a = 2.7755 Å, b = 2.7755 Å, c = 4.4780 Å
α = 90.00°, β = 90.00°, γ = 90.00°
Last column: nearest neighbours and their distance in Å.
Space group P4/mmm (No. 123)
Unique sites:
Si 0.0000 0.0000 0.0000 x1  2 C 2.24
Si 0.5000 0.5000 0.5000 x1  4 C 1.96
C 0.0000 0.0000 0.5000 x1  4 Si 1.96

Values from the calculation:
energy relative to the lowest polymorph listed for this composition	463	meV/atom
E_form (uncorrected)	0.810	eV/atom

---

Computed, not measured: crystalline Si3C4 at its relaxed geometry at the PBE level of DFT.

a = 5.2962 Å, b = 5.2962 Å, c = 2.7328 Å
α = 90.00°, β = 90.00°, γ = 120.00°
Last column: nearest neighbours and their distance in Å.
Space group P6/mmm (No. 191)
Unique sites:
Si 0.0000 0.5000 0.0000 x3  4 C 2.05
C 0.0000 0.0000 0.2570 x2  2 C 1.33-1.40
C 0.3333 0.6667 0.5000 x2  6 Si 2.05

Values from the calculation:
energy relative to the lowest polymorph listed for this composition	452	meV/atom
E_form (uncorrected)	1.186	eV/atom

---

Computed, not measured: crystalline SiC at its relaxed geometry at the PBE level of DFT.

a = 3.9768 Å, b = 3.9768 Å, c = 3.9248 Å
α = 90.00°, β = 90.00°, γ = 90.00°
Last column: nearest neighbours and their distance in Å.
Space group P4/mmm (No. 123)
Unique sites:
Si 0.0000 0.0000 0.0000 x1  6 C 1.96-1.99
Si 0.0000 0.5000 0.5000 x2  4 C 1.96-1.99
C 0.0000 0.0000 0.5000 x1  6 Si 1.96-1.99
C 0.0000 0.5000 0.0000 x2  4 Si 1.96-1.99

Values from the calculation:
energy relative to the lowest polymorph listed for this composition	1199	meV/atom
E_form (uncorrected)	0.993	eV/atom

---

Computed, not measured: crystalline SiC at its relaxed geometry at the PBE level of DFT.

a = 9.9694 Å, b = 2.8313 Å, c = 2.8239 Å
α = 90.00°, β = 104.58°, γ = 90.00°
Last column: nearest neighbours and their distance in Å.
Space group C2/m (No. 12)
Unique sites:
Si 0.1428 0.0000 0.1525 x4  5 C 2.00-2.05
C 0.1445 0.5000 0.6546 x4  5 Si 2.00-2.05

Values from the calculation:
energy relative to the lowest polymorph listed for this composition	1043	meV/atom
E_form (uncorrected)	0.836	eV/atom

---

Computed, not measured: crystalline Si2C at its relaxed geometry at the PBE level of DFT.

a = 5.3173 Å, b = 5.3173 Å, c = 5.3173 Å
α = 90.00°, β = 90.00°, γ = 90.00°
Last column: nearest neighbours and their distance in Å.
Space group Fm-3m (No. 225)
Unique sites:
Si 0.2500 0.2500 0.2500 x8  4 C 2.30
C 0.0000 0.0000 0.0000 x4  8 Si 2.30

Values from the calculation:
energy relative to the lowest polymorph listed for this composition	1152	meV/atom
E_form (uncorrected)	1.499	eV/atom

---

Computed, not measured: crystalline Si2C3 at its relaxed geometry at the PBE level of DFT.

a = 2.6187 Å, b = 2.6187 Å, c = 33.8797 Å
α = 90.00°, β = 90.00°, γ = 120.00°
Last column: nearest neighbours and their distance in Å.
Space group R-3m (No. 166, hexagonal axes)
Unique sites:
Si 0.0000 0.0000 0.1300 x6  3 C 1.96
C 0.0000 0.0000 0.3333 x6  3 C 1.51
C 0.0000 0.0000 0.5000 x3  6 Si 1.96

Values from the calculation:
energy relative to the lowest polymorph listed for this composition	0	meV/atom
E_form (uncorrected)	0.705	eV/atom

---

Computed, not measured: crystalline SiC2 at its relaxed geometry at the PBE level of DFT.

a = 5.1648 Å, b = 5.1648 Å, c = 3.8176 Å
α = 90.00°, β = 90.00°, γ = 120.00°
Last column: nearest neighbours and their distance in Å.
Space group P-31m (No. 162)
Unique sites:
Si 0.0000 0.0000 0.0000 x1  6 C 1.94
Si 0.3333 0.6667 0.5000 x2  6 C 1.99
C 0.0000 0.2660 0.3602 x6  2 C 1.74, 1 Si 1.94

Values from the calculation:
energy relative to the lowest polymorph listed for this composition	1160	meV/atom
E_form (uncorrected)	1.492	eV/atom